Record 1
# Y2FeS2 SCAN PBEsol geometry
data_Y2FeS2
_chemical_formula_sum 'Y2 Fe1 S2'
_cell_length_a 4.5480
_cell_length_b 4.5480
_cell_length_c 6.9460
_cell_angle_alpha 109.11
_cell_angle_beta 109.11
_cell_angle_gamma 90.00
_space_group_name_H-M_alt 'P 1'
_space_group_IT_number 1
loop_
_space_group_symop_operation_xyz
'x,y,z'
loop_
_atom_site_label
_atom_site_type_symbol
_atom_site_fract_x
_atom_site_fract_y
_atom_site_fract_z
Y1 Y 0.6426 0.6426 0.2852
Y2 Y 0.3574 0.3574 0.7148
S1 S 0.7500 0.2500 0.5000
S2 S 0.2500 0.7500 0.5000
Fe1 Fe 0.0000 0.0000 0.0000
# - total DFT energy (no corrections) (eV/atom) = -19.458
# - D(E_F) (states/eV per atom) = 1.18



Record 2
# Li3FeP2O8 SCAN PBEsol geometry
data_Li3FeP2O8
_chemical_formula_sum 'Li3 Fe1 P2 O8'
_cell_length_a 4.8685
_cell_length_b 4.8685
_cell_length_c 6.1642
_cell_angle_alpha 90.45
_cell_angle_beta 90.45
_cell_angle_gamma 67.08
_space_group_name_H-M_alt 'P 1'
_space_group_IT_number 1
loop_
_space_group_symop_operation_xyz
'x,y,z'
loop_
_atom_site_label
_atom_site_type_symbol
_atom_site_fract_x
_atom_site_fract_y
_atom_site_fract_z
O1 O 0.2001 0.7376 0.7677
O2 O 0.7415 0.7415 0.9661
O3 O 0.7376 0.2001 0.7677
O4 O 0.2549 0.2549 0.4420
O5 O 0.2624 0.7999 0.2323
O6 O 0.7451 0.7451 0.5580
O7 O 0.7999 0.2624 0.2323
O8 O 0.2585 0.2585 0.0339
P1 P 0.8506 0.8506 0.7607
P2 P 0.1494 0.1494 0.2393
Li1 Li 0.1742 0.1742 0.7302
Li2 Li 0.5000 0.5000 0.5000
Li3 Li 0.8258 0.8258 0.2698
Fe1 Fe 0.5000 0.5000 0.0000
# - energy above the lowest structure with this stoichiometry (kJ/mol of formula units) = 0



Record 3
# MnTc3Au SCAN PBEsol geometry
data_MnTc3Au
_chemical_formula_sum 'Mn1 Tc3 Au1'
_cell_length_a 4.7509
_cell_length_b 4.7509
_cell_length_c 4.7509
_cell_angle_alpha 90.00
_cell_angle_beta 90.00
_cell_angle_gamma 90.00
_space_group_name_H-M_alt 'P 1'
_space_group_IT_number 1
loop_
_space_group_symop_operation_xyz
'x,y,z'
loop_
_atom_site_label
_atom_site_type_symbol
_atom_site_fract_x
_atom_site_fract_y
_atom_site_fract_z
Tc1 Tc 0.0000 0.0000 0.5000
Tc2 Tc 0.5000 0.0000 0.0000
Tc3 Tc 0.0000 0.5000 0.0000
Mn1 Mn 0.5000 0.5000 0.5000
Au1 Au 0.0000 0.0000 0.0000
# - total DFT energy (no corrections) (eV/atom) = -36.388
# - D(E_F) (states/eV per atom) = 0.80



Record 4
# CaCrN2F SCAN PBEsol geometry
data_CaCrN2F
_chemical_formula_sum 'Ca1 Cr1 N2 F1'
_cell_length_a 3.6905
_cell_length_b 3.6905
_cell_length_c 3.9592
_cell_angle_alpha 90.00
_cell_angle_beta 90.00
_cell_angle_gamma 90.00
_space_group_name_H-M_alt 'P 1'
_space_group_IT_number 1
loop_
_space_group_symop_operation_xyz
'x,y,z'
loop_
_atom_site_label
_atom_site_type_symbol
_atom_site_fract_x
_atom_site_fract_y
_atom_site_fract_z
Cr1 Cr 0.0000 0.0000 0.0000
N1 N 0.5000 0.0000 0.0000
N2 N 0.0000 0.5000 0.0000
Ca1 Ca 0.5000 0.5000 0.5000
F1 F 0.0000 0.0000 0.5000
# - energy above the lowest structure with this stoichiometry (kJ/mol of formula units) = 0
# - D(E_F) (states/eV per atom) = 0.49



Record 5
# Ca2AlSn2 SCAN PBEsol geometry
data_Ca2AlSn2
_chemical_formula_sum 'Ca4 Al2 Sn4'
_cell_length_a 4.7711
_cell_length_b 7.3910
_cell_length_c 7.3910
_cell_angle_alpha 90.00
_cell_angle_beta 90.00
_cell_angle_gamma 90.00
_space_group_name_H-M_alt 'P 1'
_space_group_IT_number 1
loop_
_space_group_symop_operation_xyz
'x,y,z'
loop_
_atom_site_label
_atom_site_type_symbol
_atom_site_fract_x
_atom_site_fract_y
_atom_site_fract_z
Ca1 Ca 0.5000 0.1698 0.6698
Ca2 Ca 0.5000 0.6698 0.8302
Ca3 Ca 0.5000 0.8302 0.3302
Ca4 Ca 0.5000 0.3302 0.1698
Sn1 Sn 0.0000 0.8620 0.6380
Sn2 Sn 0.0000 0.1380 0.3620
Sn3 Sn 0.0000 0.6380 0.1380
Sn4 Sn 0.0000 0.3620 0.8620
Al1 Al 0.0000 0.5000 0.5000
Al2 Al 0.0000 0.0000 0.0000
# - total DFT energy (no corrections) (eV/atom) = -20.291
# - D(E_F) (states/eV per atom) = 0.43



Record 6
# CaIrOs2 SCAN PBEsol geometry
data_CaIrOs2
_chemical_formula_sum 'Ca1 Ir1 Os2'
_cell_length_a 2.8066
_cell_length_b 2.8066
_cell_length_c 8.2418
_cell_angle_alpha 90.00
_cell_angle_beta 90.00
_cell_angle_gamma 90.00
_space_group_name_H-M_alt 'P 1'
_space_group_IT_number 1
loop_
_space_group_symop_operation_xyz
'x,y,z'
loop_
_atom_site_label
_atom_site_type_symbol
_atom_site_fract_x
_atom_site_fract_y
_atom_site_fract_z
Os1 Os 0.5000 0.5000 0.2109
Os2 Os 0.0000 0.0000 0.0030
Ca1 Ca 0.0000 0.0000 0.5017
Ir1 Ir 0.5000 0.5000 0.7845
# - energy above the lowest structure with this stoichiometry (kJ/mol of formula units) = 0
# - D(E_F) (states/eV per atom) = 0.81



Record 7
# SrBeB2O5 SCAN PBEsol geometry
data_SrBeB2O5
_chemical_formula_sum 'Sr4 Be4 B8 O20'
_cell_length_a 3.8409
_cell_length_b 5.2349
_cell_length_c 17.4815
_cell_angle_alpha 97.89
_cell_angle_beta 90.00
_cell_angle_gamma 90.00
_space_group_name_H-M_alt 'P 1'
_space_group_IT_number 1
loop_
_space_group_symop_operation_xyz
'x,y,z'
loop_
_atom_site_label
_atom_site_type_symbol
_atom_site_fract_x
_atom_site_fract_y
_atom_site_fract_z
B1 B 0.7793 0.8832 0.2858
B2 B 0.5098 0.7001 0.4013
B3 B 0.4902 0.2999 0.5987
B4 B 0.2207 0.1168 0.7142
B5 B 0.7207 0.3832 0.7858
B6 B 0.9902 0.2001 0.9013
B7 B 0.2793 0.6168 0.2142
B8 B 0.0098 0.7999 0.0987
Be1 Be 0.7655 0.3951 0.2868
Be2 Be 0.2345 0.6049 0.7132
Be3 Be 0.2655 0.1049 0.2132
Be4 Be 0.7345 0.8951 0.7868
O1 O 0.6172 0.4547 0.3736
O2 O 0.1251 0.5920 0.1351
O3 O 0.0296 0.8789 0.7197
O4 O 0.3749 0.0920 0.6351
O5 O 0.9704 0.1211 0.2803
O6 O 0.0050 0.6495 0.2748
O7 O 0.6251 0.9080 0.3649
O8 O 0.3828 0.5453 0.6264
O9 O 0.8828 0.9547 0.8736
O10 O 0.5050 0.8505 0.2252
O11 O 0.1172 0.0453 0.1264
O12 O 0.1977 0.2491 0.9651
O13 O 0.9950 0.3505 0.7252
O14 O 0.3023 0.7491 0.4651
O15 O 0.6977 0.2509 0.5349
O16 O 0.4704 0.3789 0.2197
O17 O 0.8749 0.4080 0.8649
O18 O 0.8023 0.7509 0.0349
O19 O 0.4950 0.1495 0.7748
O20 O 0.5296 0.6211 0.7803
Sr1 Sr 0.6451 0.2885 0.0718
Sr2 Sr 0.1451 0.2115 0.4282
Sr3 Sr 0.3549 0.7115 0.9282
Sr4 Sr 0.8549 0.7885 0.5718
# - total DFT energy (no corrections) (eV/atom) = -11.069
# - D(E_F) (states/eV per atom) = 0.00



Record 8
# SrSiPt2 SCAN PBEsol geometry
data_SrSiPt2
_chemical_formula_sum 'Sr1 Si1 Pt2'
_cell_length_a 4.0641
_cell_length_b 4.0641
_cell_length_c 5.2506
_cell_angle_alpha 112.77
_cell_angle_beta 112.77
_cell_angle_gamma 90.00
_space_group_name_H-M_alt 'P 1'
_space_group_IT_number 1
loop_
_space_group_symop_operation_xyz
'x,y,z'
loop_
_atom_site_label
_atom_site_type_symbol
_atom_site_fract_x
_atom_site_fract_y
_atom_site_fract_z
Pt1 Pt 0.0000 0.0000 0.0000
Pt2 Pt 0.7500 0.2500 0.5000
Sr1 Sr 0.2500 0.7500 0.5000
Si1 Si 0.5000 0.5000 0.0000
# - total DFT energy (no corrections) (eV/atom) = -43.343
# - D(E_F) (states/eV per atom) = 0.43



Record 9
# Ag5Se SCAN PBEsol geometry
data_Ag5Se
_chemical_formula_sum 'Ag5 Se1'
_cell_length_a 4.6900
_cell_length_b 5.0376
_cell_length_c 5.0376
_cell_angle_alpha 120.00
_cell_angle_beta 90.00
_cell_angle_gamma 90.00
_space_group_name_H-M_alt 'P 1'
_space_group_IT_number 1
loop_
_space_group_symop_operation_xyz
'x,y,z'
loop_
_atom_site_label
_atom_site_type_symbol
_atom_site_fract_x
_atom_site_fract_y
_atom_site_fract_z
Ag1 Ag 0.0000 0.6606 0.0000
Ag2 Ag 0.5000 0.6667 0.3333
Ag3 Ag 0.5000 0.3333 0.6667
Ag4 Ag 0.0000 0.3394 0.3394
Ag5 Ag 0.0000 0.0000 0.6606
Se1 Se 0.5000 0.0000 0.0000
# - total DFT energy (no corrections) (eV/atom) = -29.458
# - D(E_F) (states/eV per atom) = 0.08



Record 10
# TmGe SCAN PBEsol geometry
data_TmGe
_chemical_formula_sum 'Tm2 Ge2'
_cell_length_a 3.8569
_cell_length_b 4.1599
_cell_length_c 5.6214
_cell_angle_alpha 68.28
_cell_angle_beta 90.00
_cell_angle_gamma 90.00
_space_group_name_H-M_alt 'P 1'
_space_group_IT_number 1
loop_
_space_group_symop_operation_xyz
'x,y,z'
loop_
_atom_site_label
_atom_site_type_symbol
_atom_site_fract_x
_atom_site_fract_y
_atom_site_fract_z
Ge1 Ge 0.2500 0.5863 0.8274
Ge2 Ge 0.7500 0.4137 0.1726
Tm1 Tm 0.7500 0.1385 0.7230
Tm2 Tm 0.2500 0.8615 0.2770
# - total DFT energy (no corrections) (eV/atom) = -36.388
# - D(E_F) (states/eV per atom) = 0.43



Record 11
# TiBWN2 SCAN PBEsol geometry
data_TiBWN2
_chemical_formula_sum 'Ti1 B1 W1 N2'
_cell_length_a 3.7287
_cell_length_b 3.7287
_cell_length_c 4.0539
_cell_angle_alpha 90.00
_cell_angle_beta 90.00
_cell_angle_gamma 90.00
_space_group_name_H-M_alt 'P 1'
_space_group_IT_number 1
loop_
_space_group_symop_operation_xyz
'x,y,z'
loop_
_atom_site_label
_atom_site_type_symbol
_atom_site_fract_x
_atom_site_fract_y
_atom_site_fract_z
W1 W 0.5000 0.5000 0.5000
N1 N 0.5000 0.0000 0.0000
N2 N 0.0000 0.5000 0.0000
Ti1 Ti 0.0000 0.0000 0.0000
B1 B 0.0000 0.0000 0.5000
# - total DFT energy (no corrections) (eV/atom) = -21.105
# - D(E_F) (states/eV per atom) = 0.60



Record 12
# Y4FeSb SCAN PBEsol geometry
data_Y4FeSb
_chemical_formula_sum 'Y4 Fe1 Sb1'
_cell_length_a 6.0569
_cell_length_b 6.0569
_cell_length_c 6.0569
_cell_angle_alpha 60.00
_cell_angle_beta 60.00
_cell_angle_gamma 60.00
_space_group_name_H-M_alt 'P 1'
_space_group_IT_number 1
loop_
_space_group_symop_operation_xyz
'x,y,z'
loop_
_atom_site_label
_atom_site_type_symbol
_atom_site_fract_x
_atom_site_fract_y
_atom_site_fract_z
Y1 Y 0.8741 0.3753 0.3753
Y2 Y 0.3753 0.3753 0.3753
Y3 Y 0.3753 0.8741 0.3753
Y4 Y 0.3753 0.3753 0.8741
Sb1 Sb 0.0000 0.0000 0.0000
Fe1 Fe 0.7500 0.7500 0.7500
# - total DFT energy (no corrections) (eV/atom) = -27.290
# - D(E_F) (states/eV per atom) = 1.12